Below is crystalline RbSb2HI at its relaxed geometry, with properties calculated at the PBE level.

Results
Space-group type: P4/mmm, No. 123
E_tot in eV/atom: -1.75

Structure (POSCAR):
```
RbSb2HI
1.0
8.189 0.000 0.000
0.000 8.189 0.000
0.000 0.000 6.796
Rb Sb H I
1 2 1 1
Cartesian
0.000 0.000 0.000
0.000 4.095 0.000
4.095 0.000 0.000
4.095 4.095 3.398
0.000 0.000 3.398
```